The following is a DFT calculation (PBE) of an optimized crystal structure of RbPaS2.

## Properties
- uncorrected formation energy (eV per atom) = -1.4172
- crystal system = trigonal

abc: 4.0136 4.0136 8.3280
angles: 76.06 76.06 60.00
With the nearest neighbours (Å) after each atom.
Fractional coordinates of all 4 atoms:
1 Rb 0.4972 0.4972 0.5084  6 S 3.29-3.41
2 S 0.0668 0.0668 0.7997  3 Pa 2.80
3 S 0.2683 0.2683 0.1952  3 Pa 2.81
4 Pa 0.6677 0.6677 0.9968  6 S 2.80-2.81

***

The following is a DFT calculation (PBE) of an optimized crystal structure of CsMgPH12O10.

## Properties
- DFT total energy (eV/atom) = -5.388
- crystal system = cubic

abc: 7.1475 7.1475 7.1475
angles: 60.00 60.00 60.00
With the nearest neighbours (Å) after each atom.
Fractional coordinates of all 25 atoms:
1 O 0.7930 0.2070 0.7930  2 H 1.00
2 O 0.3392 0.9824 0.3392  1 P 1.56, 3 H 1.66
3 O 0.3392 0.3392 0.9824  1 P 1.56, 3 H 1.66
4 O 0.7930 0.2070 0.2070  2 H 1.00
5 O 0.3392 0.3392 0.3392  1 P 1.56, 3 H 1.66
6 O 0.2070 0.7930 0.7930  2 H 1.00
7 O 0.7930 0.7930 0.2070  2 H 1.00
8 O 0.2070 0.2070 0.7930  2 H 1.00
9 O 0.2070 0.7930 0.2070  2 H 1.00
10 O 0.9824 0.3392 0.3392  1 P 1.56, 3 H 1.66
11 H 0.2626 0.2626 0.6211  1 O 1.00
12 H 0.2626 0.6211 0.8538  1 O 1.00
13 H 0.8538 0.6211 0.2626  1 O 1.00
14 H 0.2626 0.8538 0.2626  1 O 1.00
15 H 0.2626 0.6211 0.2626  1 O 1.00
16 H 0.8538 0.2626 0.2626  1 O 1.00
17 H 0.6211 0.2626 0.2626  1 O 1.00
18 H 0.8538 0.2626 0.6211  1 O 1.00
19 H 0.2626 0.2626 0.8538  1 O 1.00
20 H 0.6211 0.8538 0.2626  1 O 1.00
21 H 0.2626 0.8538 0.6211  1 O 1.00
22 H 0.6211 0.2626 0.8538  1 O 1.00
23 Mg 0.0000 0.0000 0.0000  6 O 2.09
24 Cs 0.7500 0.7500 0.7500  12 O 3.60, 24 H 3.67
25 P 0.2500 0.2500 0.2500  4 O 1.56

***

The following is a DFT calculation (PBE) of an optimized crystal structure of LuMg2Ga.

## Properties
- offset from the most stable computed form (meV/atom) = 0.0
- ΔH_f (0 K) (eV/f.u.) = -1.073
- crystal system = tetragonal

abc: 4.7286 4.2789 4.2789
angles: 90.00 90.00 90.00
With the nearest neighbours (Å) after each atom.
Fractional coordinates of all 4 atoms:
1 Ga 0.5000 0.0000 0.0000  4 Lu 3.03, 8 Mg 3.19
2 Lu 0.5000 0.5000 0.5000  4 Ga 3.03, 8 Mg 3.19
3 Mg 0.0000 0.5000 0.0000  4 Mg 3.03, 4 Ga 3.19, 4 Lu 3.19
4 Mg 0.0000 0.0000 0.5000  4 Mg 3.03, 4 Ga 3.19, 4 Lu 3.19

***

The following is a DFT calculation (PBE) of an optimized crystal structure of LiYC.

## Properties
- offset from the most stable computed form (meV/atom) = 201.7
- ΔH_f (0 K) (eV/f.u.) = 0.200
- crystal system = monoclinic

abc: 12.2695 6.3954 6.3954
angles: 145.37 154.25 25.75
With the nearest neighbours (Å) after each atom.
Fractional coordinates of all 6 atoms:
1 C 0.9741 0.3475 0.6525  3 Li 2.36-2.58, 4 Y 2.43-2.48
2 C 0.6045 0.4502 0.5498  2 Li 2.22-2.25, 2 Y 2.41
3 Y 0.5325 0.9000 0.1000  4 C 2.41-2.48
4 Y 0.7162 0.9963 0.0037  4 C 2.47-2.70
5 Li 0.1410 0.9856 0.0144  2 C 2.22-2.25, 1 Li 2.29
6 Li 0.0483 0.8883 0.1117  1 Li 2.29, 4 C 2.36-2.51

***

The following is a DFT calculation (PBE) of an optimized crystal structure of ZnNi2BRh.

## Properties
- ΔH_f (0 K) (eV/f.u.) = -1.204
- crystal system = tetragonal

abc: 3.8358 3.8358 4.0479
angles: 90.00 90.00 90.00
With the nearest neighbours (Å) after each atom.
Fractional coordinates of all 5 atoms:
1 Rh 0.0000 0.0000 0.5000  2 B 2.02
2 Ni 0.5000 0.0000 0.0000  2 B 1.92
3 Ni 0.0000 0.5000 0.0000  2 B 1.92
4 Zn 0.5000 0.5000 0.5000  4 Rh 2.71, 8 Ni 2.79
5 B 0.0000 0.0000 0.0000  4 Ni 1.92, 2 Rh 2.02

***

The following is a DFT calculation (PBE) of an optimized crystal structure of HoSiGe2.

## Properties
- uncorrected formation energy (eV per atom) = -0.3022
- crystal system = tetragonal

abc: 4.1458 4.3109 4.3109
angles: 90.00 90.00 90.00
With the nearest neighbours (Å) after each atom.
Fractional coordinates of all 4 atoms:
1 Ho 0.5000 0.0000 0.0000  8 Ge 2.99, 4 Si 3.05
2 Si 0.5000 0.5000 0.5000  8 Ge 2.99, 4 Ho 3.05
3 Ge 0.0000 0.0000 0.5000  4 Ho 2.99, 4 Si 2.99, 4 Ge 3.05
4 Ge 0.0000 0.5000 0.0000  4 Ho 2.99, 4 Si 2.99, 4 Ge 3.05

***

The following is a DFT calculation (PBE) of an optimized crystal structure of Zn2SiW.

## Properties
- uncorrected formation energy (eV per atom) = 0.1731
- crystal system = monoclinic

abc: 4.7490 2.6561 4.6570
angles: 91.51 90.00 90.00
With the nearest neighbours (Å) after each atom.
Fractional coordinates of all 4 atoms:
1 Zn 0.0000 0.1017 0.9958  4 Zn 2.44-2.66, 2 Si 2.68
2 Zn 0.0000 0.3983 0.5042  4 Zn 2.44-2.66, 2 Si 2.68
3 Si 0.5000 0.2500 0.2500  4 W 2.65-2.71, 2 Si 2.66, 4 Zn 2.68
4 W 0.5000 0.7500 0.7500  4 Si 2.65-2.71, 2 W 2.66, 4 Zn 2.79

***

The following is a DFT calculation (PBE) of an optimized crystal structure of TbBOs.

## Properties
- offset from the most stable computed form (meV/atom) = 574.2
- ΔH_f (0 K) (eV/f.u.) = 0.614
- crystal system = monoclinic

abc: 4.9825 6.1259 6.1248
angles: 55.93 61.48 61.49
With the nearest neighbours (Å) after each atom.
Fractional coordinates of all 6 atoms:
1 Os 0.4267 0.2860 0.9827  2 B 2.09-2.13
2 Os 0.9267 0.2956 0.9730  2 B 2.09-2.13
3 Tb 0.4238 0.3748 0.4577  3 B 2.71-2.79, 3 Os 2.88-2.95
4 Tb 0.9239 0.7708 0.0615  3 B 2.71-2.79, 3 Os 2.88-2.95
5 B 0.7818 0.4395 0.6271  2 Os 2.09-2.13
6 B 0.2816 0.9401 0.1267  2 Os 2.09-2.13

***

The following is a DFT calculation (PBE) of an optimized crystal structure of TbTh2ScP4.

## Properties
- ΔH_f (0 K) (eV/f.u.) = -12.220
- crystal system = monoclinic

abc: 4.0501 6.9206 7.0114
angles: 70.19 90.00 90.00
With the nearest neighbours (Å) after each atom.
Fractional coordinates of all 8 atoms:
1 P 0.5000 0.2618 0.7523  1 Sc 2.77, 2 Tb 2.82, 3 Th 2.88-2.93
2 P 0.5000 0.7382 0.2477  1 Sc 2.77, 2 Tb 2.82, 3 Th 2.88-2.93
3 P 0.0000 0.7334 0.7619  2 Sc 2.77, 1 Tb 2.83, 3 Th 2.88-2.93
4 P 0.0000 0.2666 0.2381  2 Sc 2.77, 1 Tb 2.83, 3 Th 2.88-2.93
5 Sc 0.5000 0.5000 0.0000  6 P 2.77
6 Th 0.5000 0.0000 0.5000  6 P 2.93
7 Th 0.0000 0.0000 0.0000  6 P 2.88
8 Tb 0.0000 0.5000 0.5000  6 P 2.82-2.83

***

The following is a DFT calculation (PBE) of an optimized crystal structure of TbMgBi.

## Properties
- offset from the most stable computed form (meV/atom) = 218.1
- ΔH_f (0 K) (eV/f.u.) = -0.793
- crystal system = tetragonal

abc: 3.8471 3.8471 6.2612
angles: 107.89 107.89 90.00
With the nearest neighbours (Å) after each atom.
Fractional coordinates of all 3 atoms:
1 Tb 0.9507 0.9507 0.9013  5 Mg 3.39-3.62, 5 Bi 3.40-3.60
2 Mg 0.6298 0.6298 0.2596  4 Bi 3.14, 4 Tb 3.39
3 Bi 0.2695 0.2695 0.5391  4 Mg 3.14, 4 Tb 3.40

***

The following is a DFT calculation (PBE) of an optimized crystal structure of Tb2PrSm4Mg.

## Properties
- ΔH_f (0 K) (eV/f.u.) = 0.655
- crystal system = tetragonal

abc: 5.8629 9.5505 5.8598
angles: 52.14 90.00 90.00
With the nearest neighbours (Å) after each atom.
Fractional coordinates of all 8 atoms:
1 Sm 0.0000 0.7427 0.7571  2 Mg 3.45-3.46, 2 Pr 3.46, 4 Tb 3.51-3.52, 1 Sm 3.66
2 Sm 0.5000 0.7423 0.2578  2 Pr 3.45, 2 Mg 3.45, 4 Tb 3.52, 1 Sm 3.65
3 Sm 0.5000 0.2577 0.7422  2 Pr 3.45, 2 Mg 3.45, 4 Tb 3.52, 1 Sm 3.65
4 Sm 0.0000 0.2573 0.2429  2 Mg 3.45-3.46, 2 Pr 3.46, 4 Tb 3.51-3.52, 1 Sm 3.66
5 Tb 0.0000 0.0000 0.0000  8 Sm 3.51-3.52, 2 Mg 3.77
6 Tb 0.5000 0.0000 0.5000  8 Sm 3.52, 2 Pr 3.77
7 Mg 0.0000 0.5000 0.5000  8 Sm 3.45-3.46, 2 Tb 3.77
8 Pr 0.5000 0.5000 0.0000  8 Sm 3.45-3.46, 2 Tb 3.77

***

The following is a DFT calculation (PBE) of an optimized crystal structure of Rb2Tl3In4Sb.

## Properties
- uncorrected formation energy (eV per atom) = -0.0989
- crystal system = tetragonal

abc: 5.2009 5.2009 12.8092
angles: 90.00 90.00 90.00
With the nearest neighbours (Å) after each atom.
Fractional coordinates of all 10 atoms:
1 Tl 0.0000 0.0000 0.5000  4 In 3.11
2 Tl 0.5000 0.0000 0.8673  5 In 3.00-3.11
3 Tl 0.0000 0.5000 0.1327  5 In 3.00-3.11
4 In 0.0000 0.0000 0.0000  4 Tl 3.11
5 In 0.5000 0.0000 0.6332  3 Tl 3.00-3.11, 2 Sb 3.11
6 In 0.0000 0.5000 0.3668  3 Tl 3.00-3.11, 2 Sb 3.11
7 In 0.5000 0.5000 0.0000  4 Tl 3.11
8 Rb 0.5000 0.0000 0.2534  8 In 3.95-4.16, 6 Tl 3.99-4.09, 2 Sb 4.09
9 Rb 0.0000 0.5000 0.7466  8 In 3.95-4.16, 6 Tl 3.99-4.09, 2 Sb 4.09
10 Sb 0.5000 0.5000 0.5000  4 In 3.11